# CoAgGe | the Open Quantum Materials Database | PBE | optimized geometry
data_CoAgGe
_symmetry_space_group_name_H-M 'F -4 3 m'
_symmetry_Int_Tables_number 216
_symmetry_space_group_name_Hall 'F -4 2 3'
_cell_length_a 5.822
_cell_length_b 5.822
_cell_length_c 5.822
_cell_angle_alpha 90.00
_cell_angle_beta 90.00
_cell_angle_gamma 90.00
loop_
_atom_site_label
_atom_site_type_symbol
_atom_site_fract_x
_atom_site_fract_y
_atom_site_fract_z
Co1 Co 0.000 0.000 0.000
Ag1 Ag 0.250 0.250 0.750
Ge1 Ge 0.250 0.250 0.250
# Density, g/cm³: 8.059
# E_tot, eV/atom: -4.583
# Total magnetization, μB per formula unit: 0.0
# Polymorph energy (0 for the lowest one), eV per atom: 0.000